[1]
Ca2La4Co | PBE | optimized geometry

abc: 5.3845 5.3845 18.8015
angles: 90.00 90.00 90.00
With the nearest neighbours (Å) after each atom.
Space group I4/mmm (No. 139)
Symmetry-distinct sites (fractional):
1 Ca 0.0000 0.0000 0.1578 x4  9 La 3.65-4.01
2 La 0.0000 0.0000 0.3520 x4  1 Co 2.78
3 La 0.0000 0.5000 0.0000 x4  2 Co 2.69
4 Co 0.0000 0.0000 0.5000 x2  6 La 2.69-2.78

Formation energy from the elements   0.133 eV per atom
Magnetic moment   0.00 Bohr magnetons per cell
Fermi-level density of states   20.020 states/eV per cell

---

[2]
CaLa2Co9 | PBE | optimized geometry

abc: 5.0491 5.0491 24.8528
angles: 90.00 90.00 120.00
With the nearest neighbours (Å) after each atom.
Space group R-3m (No. 166, hexagonal axes)
Symmetry-distinct sites (fractional):
1 Ca 0.0000 0.0000 0.0000 x3  18 Co 2.92-3.18
2 La 0.0000 0.0000 0.1393 x6  12 Co 2.95-3.24, 3 La 3.22
3 Co 0.0000 0.0000 0.3322 x6  6 Co 2.42-2.43
4 Co 0.0000 0.0000 0.5000 x3  6 Co 2.63
5 Co 0.0059 0.5030 0.0781 x18  7 Co 2.42-2.63

Formation energy from the elements   0.008 eV per atom
Magnetic moment   32.37 Bohr magnetons per cell
Fermi-level density of states   58.331 states/eV per cell

---

[3]
CaLa6Co3 | PBE | optimized geometry

abc: 12.6863 3.9917 12.6902
angles: 90.00 103.52 90.00
With the nearest neighbours (Å) after each atom.
Space group P2_1/m (No. 11)
Symmetry-distinct sites (fractional):
1 Ca 0.1374 0.2500 0.0310 x2  6 La 3.77-4.10, 4 Ca 3.93-3.99
2 La 0.0323 0.7500 0.7620 x2  2 Co 2.62
3 La 0.1346 0.2500 0.5198 x2  4 Co 2.83-2.88
4 La 0.2536 0.7500 0.3295 x2  3 Co 2.78-2.88
5 La 0.3106 0.2500 0.7956 x2  2 Co 2.64
6 La 0.4081 0.7500 0.0691 x2  3 Co 2.73-2.95
7 La 0.4587 0.7500 0.6101 x2  4 Co 2.80-3.07
8 Co 0.0388 0.7500 0.3692 x2  6 La 2.62-2.88
9 Co 0.3435 0.2500 0.4757 x2  6 La 2.78-2.96
10 Co 0.4489 0.7500 0.8494 x2  5 La 2.64-2.95

Formation energy from the elements   -0.067 eV per atom
Magnetic moment   0.00 Bohr magnetons per cell
Fermi-level density of states   17.604 states/eV per cell

---

[4]
Li2CaLaCo | PBE | optimized geometry

abc: 5.2423 5.2423 4.7884
angles: 90.00 90.00 90.00
With the nearest neighbours (Å) after each atom.
Space group P4/mmm (No. 123)
Symmetry-distinct sites (fractional):
1 Li 0.0000 0.5000 0.0000 x2  2 Co 2.62
2 Ca 0.0000 0.0000 0.5000 x1  8 Li 3.55, 4 La 3.71
3 La 0.5000 0.5000 0.5000 x1  2 Co 2.39
4 Co 0.5000 0.5000 0.0000 x1  2 La 2.39, 4 Li 2.62

Formation energy from the elements   0.194 eV per atom
Magnetic moment   0.00 Bohr magnetons per cell
Fermi-level density of states   4.832 states/eV per cell

---

[5]
LiCa2LaCo | PBE | optimized geometry

abc: 5.6398 5.6398 5.0833
angles: 90.00 90.00 90.00
With the nearest neighbours (Å) after each atom.
Space group P4/mmm (No. 123)
Symmetry-distinct sites (fractional):
1 Li 0.0000 0.0000 0.0000 x1  8 Ca 3.80, 4 La 3.99
2 Ca 0.0000 0.5000 0.5000 x2  2 Co 2.82
3 La 0.5000 0.5000 0.0000 x1  2 Co 2.54
4 Co 0.5000 0.5000 0.5000 x1  2 La 2.54, 4 Ca 2.82

Formation energy from the elements   0.048 eV per atom
Magnetic moment   0.00 Bohr magnetons per cell
Fermi-level density of states   4.316 states/eV per cell

---

[6]
LiCaLa2Co | PBE | optimized geometry

abc: 5.2313 5.2313 5.6005
angles: 90.00 90.00 90.00
With the nearest neighbours (Å) after each atom.
Space group P4/mmm (No. 123)
Symmetry-distinct sites (fractional):
1 Li 0.0000 0.0000 0.0000 x1  2 Co 2.80
2 Ca 0.5000 0.5000 0.0000 x1  4 Li 3.70, 8 La 3.83
3 La 0.0000 0.5000 0.5000 x2  2 Co 2.62
4 Co 0.0000 0.0000 0.5000 x1  4 La 2.62, 2 Li 2.80

Formation energy from the elements   0.051 eV per atom
Magnetic moment   0.00 Bohr magnetons per cell
Fermi-level density of states   4.531 states/eV per cell
Distance to the lowest polymorph of the same formula   0.069 eV/atom

---

[7]
LiCaLa2Co | PBE | optimized geometry

abc: 5.2648 5.2648 5.8009
angles: 90.00 90.00 90.00
With the nearest neighbours (Å) after each atom.
Space group P4/mmm (No. 123)
Symmetry-distinct sites (fractional):
1 Li 0.0000 0.0000 0.0000 x1  4 Ca 3.72, 8 La 3.92
2 Ca 0.5000 0.5000 0.0000 x1  2 Co 2.90
3 La 0.0000 0.5000 0.5000 x2  2 Co 2.63
4 Co 0.5000 0.5000 0.5000 x1  4 La 2.63, 2 Ca 2.90

Formation energy from the elements   -0.018 eV per atom
Magnetic moment   0.00 Bohr magnetons per cell
Fermi-level density of states   4.211 states/eV per cell
Distance to the lowest polymorph of the same formula   0.000 eV/atom

---

[8]
CaLa2MgCo | PBE | optimized geometry

abc: 5.3509 5.3509 5.3510
angles: 90.00 90.00 90.00
With the nearest neighbours (Å) after each atom.
Space group P4/mmm (No. 123)
Symmetry-distinct sites (fractional):
1 Ca 0.0000 0.0000 0.0000 x1  4 Mg 3.78, 8 La 3.78
2 La 0.0000 0.5000 0.5000 x2  2 Co 2.68
3 Mg 0.5000 0.5000 0.0000 x1  2 Co 2.68
4 Co 0.5000 0.5000 0.5000 x1  4 La 2.68, 2 Mg 2.68

Formation energy from the elements   -0.069 eV per atom
Magnetic moment   0.00 Bohr magnetons per cell
Fermi-level density of states   4.321 states/eV per cell
Distance to the lowest polymorph of the same formula   0.000 eV/atom

---

[9]
Ca2LaMgCo | PBE | optimized geometry

abc: 5.5640 5.5640 5.1328
angles: 90.00 90.00 90.00
With the nearest neighbours (Å) after each atom.
Space group P4/mmm (No. 123)
Symmetry-distinct sites (fractional):
1 Ca 0.0000 0.5000 0.0000 x2  2 Co 2.78
2 La 0.0000 0.0000 0.5000 x1  2 Co 2.57
3 Mg 0.5000 0.5000 0.5000 x1  8 Ca 3.78, 4 La 3.93
4 Co 0.0000 0.0000 0.0000 x1  2 La 2.57, 4 Ca 2.78

Formation energy from the elements   0.025 eV per atom
Magnetic moment   0.00 Bohr magnetons per cell
Fermi-level density of states   4.505 states/eV per cell
Distance to the lowest polymorph of the same formula   0.000 eV/atom

---

[10]
CaLa2MgCo | PBE | optimized geometry

abc: 5.2590 5.2590 5.7248
angles: 90.00 90.00 90.00
With the nearest neighbours (Å) after each atom.
Space group P4/mmm (No. 123)
Symmetry-distinct sites (fractional):
1 Ca 0.0000 0.0000 0.0000 x1  2 Co 2.86
2 La 0.0000 0.5000 0.5000 x2  2 Co 2.63
3 Mg 0.5000 0.5000 0.0000 x1  4 Ca 3.72, 8 La 3.89
4 Co 0.0000 0.0000 0.5000 x1  4 La 2.63, 2 Ca 2.86

Formation energy from the elements   -0.062 eV per atom
Magnetic moment   0.00 Bohr magnetons per cell
Fermi-level density of states   5.059 states/eV per cell
Distance to the lowest polymorph of the same formula   0.007 eV/atom

---

[11]
CaLaCoN2 | PBE | optimized geometry

abc: 4.9184 5.5449 6.8715
angles: 90.00 90.00 90.00
With the nearest neighbours (Å) after each atom.
Space group Pccm (No. 49)
Symmetry-distinct sites (fractional):
1 Ca 0.0000 0.0000 0.2500 x2  4 N 2.56
2 La 0.5000 0.5000 0.2500 x2  4 N 2.49
3 Co 0.5000 0.0000 0.0000 x2  2 N 1.79
4 N 0.2667 0.2489 0.0000 x4  1 Co 1.79

Magnetic moment   4.00 Bohr magnetons per cell
Final energy   -6.80 eV/atom
Fermi-level density of states   1.974 states/eV per cell

---

[12]
NaCa2LaCo | PBE | optimized geometry

abc: 5.7385 5.7385 5.1128
angles: 90.00 90.00 90.00
With the nearest neighbours (Å) after each atom.
Space group P4/mmm (No. 123)
Symmetry-distinct sites (fractional):
1 Na 0.0000 0.0000 0.0000 x1  8 Ca 3.84, 4 La 4.06
2 Ca 0.0000 0.5000 0.5000 x2  2 Co 2.87
3 La 0.5000 0.5000 0.0000 x1  2 Co 2.56
4 Co 0.5000 0.5000 0.5000 x1  2 La 2.56

Formation energy from the elements   0.027 eV per atom
Magnetic moment   0.00 Bohr magnetons per cell
Fermi-level density of states   4.198 states/eV per cell

---

[13]
NaCaLa2Co | PBE | optimized geometry

abc: 5.2404 5.2404 6.0781
angles: 90.00 90.00 90.00
With the nearest neighbours (Å) after each atom.
Space group P4/mmm (No. 123)
Symmetry-distinct sites (fractional):
1 Na 0.0000 0.0000 0.0000 x1  2 Co 3.04
2 Ca 0.5000 0.5000 0.0000 x1  4 Na 3.71, 8 La 4.01
3 La 0.0000 0.5000 0.5000 x2  2 Co 2.62
4 Co 0.0000 0.0000 0.5000 x1  4 La 2.62

Formation energy from the elements   0.103 eV per atom
Magnetic moment   0.00 Bohr magnetons per cell
Fermi-level density of states   4.886 states/eV per cell
Distance to the lowest polymorph of the same formula   0.119 eV/atom